Entry 1:
Density functional theory data (GGA-PBE) for a relaxed structure of OsF.

Geometry as POSCAR:
```
OsF
1.0
0.000 2.453 2.453
2.453 0.000 2.453
2.453 2.453 0.000
Os F
1 1
Direct
0.000 0.000 0.000 Os
0.250 0.250 0.250 F
```

## Properties
offset from the most stable computed form = 1242.3 meV per atom
energy = -4.84 eV per atom

=====

Entry 2:
Density functional theory data (GGA-PBE) for a relaxed structure of OsF2.

Geometry as POSCAR:
```
OsF2
1.0
4.727 0.000 0.000
0.000 4.727 0.000
0.000 0.000 3.403
Os F
2 4
Direct
0.000 0.000 0.000 Os
0.500 0.500 0.500 Os
0.188 0.188 0.500 F
0.312 0.688 0.000 F
0.688 0.312 0.000 F
0.812 0.812 0.500 F
```

## Properties
offset from the most stable computed form = 0.0 meV per atom
energy = -5.19 eV per atom

=====

Entry 3:
Density functional theory data (GGA-PBE) for a relaxed structure of OsF5.

Geometry as POSCAR:
```
OsF5
1.0
5.317 0.000 0.000
-2.659 4.605 0.000
0.000 0.000 5.992
Os F
2 10
Direct
0.333 0.667 0.250 Os
0.667 0.333 0.750 Os
0.139 0.277 0.250 F
0.139 0.861 0.250 F
0.277 0.139 0.750 F
0.333 0.667 0.570 F
0.333 0.667 0.930 F
0.667 0.333 0.070 F
0.667 0.333 0.430 F
0.723 0.861 0.250 F
0.861 0.139 0.750 F
0.861 0.723 0.750 F
```

## Properties
offset from the most stable computed form = 309.2 meV per atom
energy = -4.71 eV per atom

=====

Entry 4:
Density functional theory data (GGA-PBE) for a relaxed structure of OsF5.

Geometry as POSCAR:
```
OsF5
1.0
4.524 0.000 0.000
2.202 4.611 0.000
0.049 2.182 6.646
Os F
2 10
Direct
0.113 0.277 0.224 Os
0.887 0.723 0.776 Os
0.074 0.688 0.051 F
0.124 0.900 0.346 F
0.279 0.295 0.458 F
0.327 0.507 0.736 F
0.466 0.900 0.853 F
0.534 0.100 0.147 F
0.673 0.493 0.264 F
0.721 0.705 0.542 F
0.876 0.100 0.654 F
0.926 0.312 0.949 F
```

## Properties
offset from the most stable computed form = 13.3 meV per atom
energy = -5.01 eV per atom

=====

Entry 5:
Density functional theory data (GGA-PBE) for a relaxed structure of Os5F.

Geometry as POSCAR:
```
Os5F
1.0
5.008 0.000 0.000
-2.504 4.337 0.000
0.000 0.000 4.501
Os F
5 1
Direct
0.000 0.500 0.000 Os
0.333 0.667 0.500 Os
0.500 0.000 0.000 Os
0.500 0.500 0.000 Os
0.667 0.333 0.500 Os
0.000 0.000 0.500 F
```

## Properties
energy = -8.74 eV per atom

=====

Entry 6:
Density functional theory data (GGA-PBE) for a relaxed structure of PrOs3F15.

Geometry as POSCAR:
```
PrOs3F15
1.0
3.556 -6.110 0.000
3.556 6.110 0.000
-1.865 0.000 5.299
Pr Os F
1 3 15
Direct
0.000 0.000 0.000 Pr
0.123 0.641 0.454 Os
0.486 0.486 0.743 Os
0.641 0.123 0.454 Os
0.076 0.457 0.139 F
0.081 0.863 0.321 F
0.150 0.813 0.778 F
0.173 0.453 0.644 F
0.299 0.299 0.932 F
0.363 0.363 0.380 F
0.442 0.800 0.435 F
0.453 0.173 0.644 F
0.457 0.076 0.139 F
0.555 0.767 0.959 F
0.727 0.727 0.622 F
0.767 0.555 0.959 F
0.800 0.442 0.435 F
0.813 0.150 0.778 F
0.863 0.081 0.321 F
```

## Properties
energy = -5.44 eV per atom